[1]
Here is crystalline CePd6Pt3 at its relaxed geometry from Alexandria. Energies are from PBE.

```
data_CePd6Pt3
_chemical_formula_sum 'Ce2 Pd12 Pt6'
_space_group_name_H-M_alt 'P 1 21/m 1'
_space_group_IT_number 11
_space_group_name_Hall '-P 2yb'
_cell_length_a 8.954
_cell_length_b 4.115
_cell_length_c 8.986
_cell_angle_alpha 90.00
_cell_angle_beta 90.38
_cell_angle_gamma 90.00
loop_
_atom_site_label
_atom_site_fract_x
_atom_site_fract_y
_atom_site_fract_z
Ce1 0.132 0.250 0.427
Pd1 0.006 0.250 0.752
Pd2 0.199 0.250 0.136
Pd3 0.200 0.750 0.647
Pd4 0.306 0.750 0.335
Pd5 0.402 0.750 0.044
Pd6 0.406 0.250 0.550
Pt1 0.103 0.750 0.947
Pt2 0.305 0.250 0.845
Pt3 0.498 0.750 0.755
```

## Properties
Size of the total moment (μB per atom): 0.00
Excess energy over the best structure of this formula in the dataset (meV per atom): 0
ΔE_f (meV per atom): -268
Raw total energy (eV per atom): -5.79



[2]
Here is crystalline Th4PaS5 at its relaxed geometry from Alexandria. Energies are from PBE.

```
data_Th4PaS5
_chemical_formula_sum 'Th8 Pa2 S10'
_space_group_name_H-M_alt 'I 4/m'
_space_group_IT_number 87
_space_group_name_Hall '-I 4'
_cell_length_a 8.975
_cell_length_b 8.975
_cell_length_c 5.682
_cell_angle_alpha 90.00
_cell_angle_beta 90.00
_cell_angle_gamma 90.00
loop_
_atom_site_label
_atom_site_fract_x
_atom_site_fract_y
_atom_site_fract_z
Th1 0.098 0.300 0.000
Pa1 0.000 0.000 0.500
S1 0.000 0.000 0.000
S2 0.099 0.294 0.500
```

## Properties
Size of the total moment (μB per atom): 0.00
Formation energy without anion corrections (eV/atom): -1.788
Raw total energy (eV per atom): -7.77



Number 1: ρ 13.7 g/cm³. Number 2: ρ 9.6 g/cm³.